# 1
CdGePb2 | GGA-PBE | optimized geometry

```
CdGePb2
1.0
3.388 0.000 0.000
-1.694 2.934 0.000
0.000 0.000 34.360
Cd Ge Pb
3 3 6
direct
0.000 0.000 0.000 Cd
0.333 0.667 0.667 Cd
0.667 0.333 0.333 Cd
0.000 0.000 0.500 Ge
0.333 0.667 0.167 Ge
0.667 0.333 0.833 Ge
0.000 0.000 0.093 Pb
0.000 0.000 0.907 Pb
0.333 0.667 0.574 Pb
0.333 0.667 0.760 Pb
0.667 0.333 0.240 Pb
0.667 0.333 0.426 Pb
```

Results
The value obtained for the distance to the lowest polymorph of the same formula is 48.9 meV per atom. For the density of states at the Fermi level, the calculation gives 5.93 states/eV/cell. The calculation puts the calculated formation energy at 0.19 eV per atom. The value obtained for the magnetic moment is 0.0 μB/f.u. As for the symmetry: R-3m.

***

# 2
Cd2GePb | GGA-PBE | optimized geometry

```
Cd2GePb
1.0
7.342 0.000 0.000
0.000 7.342 0.000
0.000 0.000 7.342
Cd Ge Pb
8 4 4
direct
0.250 0.250 0.250 Cd
0.250 0.250 0.750 Cd
0.250 0.750 0.250 Cd
0.250 0.750 0.750 Cd
0.750 0.250 0.250 Cd
0.750 0.250 0.750 Cd
0.750 0.750 0.250 Cd
0.750 0.750 0.750 Cd
0.000 0.000 0.000 Ge
0.000 0.500 0.500 Ge
0.500 0.000 0.500 Ge
0.500 0.500 0.000 Ge
0.000 0.000 0.500 Pb
0.000 0.500 0.000 Pb
0.500 0.000 0.000 Pb
0.500 0.500 0.500 Pb
```

Results
The value obtained for the distance to the lowest polymorph of the same formula is 51.2 meV per atom. For the density of states at the Fermi level, the calculation gives 4.22 states/eV/cell. The calculation puts the calculated formation energy at 0.20 eV per atom. The value obtained for the magnetic moment is 0.0 μB/f.u. As for the symmetry: Fm-3m.